Entry 1:
VASP calculation (PBE) on a relaxed LiCa3Au crystal.

abc: 5.7602 5.7602 5.7602
angles: 90.00 90.00 90.00
With the nearest neighbours (Å) after each atom.
Space group Pm-3m (No. 221)
Unique sites:
1 Li 0.0000 0.0000 0.0000 (multiplicity 1)  12 Ca 4.07
2 Ca 0.0000 0.5000 0.5000 (multiplicity 3)  2 Au 2.88
3 Au 0.5000 0.5000 0.5000 (multiplicity 1)  6 Ca 2.88

Summary:
* E: -12.49 eV for the cell shown
* formation enthalpy at 0 K: -25 kJ per mole of atoms


Entry 2:
VASP calculation (PBE) on a relaxed Li2Ca4Au5 crystal.

abc: 9.2833 19.0304 5.6648
angles: 90.00 90.00 90.00
With the nearest neighbours (Å) after each atom.
Space group Ibam (No. 72)
Unique sites:
1 Li 0.0000 0.1964 0.2500 (multiplicity 8)  4 Au 2.73-2.80, 2 Li 2.83
2 Ca 0.1225 0.3484 0.0000 (multiplicity 8)  5 Au 2.98-3.15
3 Ca 0.2259 0.0616 0.0000 (multiplicity 8)  7 Au 2.96-3.14
4 Au 0.0000 0.5000 0.2500 (multiplicity 4)  2 Au 2.83, 4 Ca 3.14
5 Au 0.0902 0.0822 0.5000 (multiplicity 8)  2 Li 2.73, 3 Ca 2.96-3.01
6 Au 0.1887 0.2841 0.5000 (multiplicity 8)  2 Li 2.80, 3 Ca 3.04-3.14

Summary:
* E: -142.05 eV for the cell shown
* formation enthalpy at 0 K: -64 kJ per mole of atoms


Entry 3:
VASP calculation (PBE) on a relaxed Li3Ca2Au4 crystal.

abc: 5.6220 15.8103 8.0317
angles: 90.00 90.00 90.00
With the nearest neighbours (Å) after each atom.
Space group Cmce (No. 64)
Unique sites:
1 Li 0.0000 0.0000 0.0000 (multiplicity 4)  4 Au 2.58
2 Li 0.2500 0.2157 0.2500 (multiplicity 8)  5 Au 2.60-2.73, 2 Li 2.81
3 Ca 0.0000 0.1129 0.5872 (multiplicity 8)  8 Au 3.08-3.31, 4 Li 3.32-3.40
4 Au 0.0000 0.1872 0.9645 (multiplicity 8)  5 Li 2.70-2.97
5 Au 0.2500 0.0512 0.2500 (multiplicity 8)  3 Li 2.58-2.60, 2 Au 2.81

Summary:
* E: -113.65 eV for the cell shown
* formation enthalpy at 0 K: -60 kJ per mole of atoms


Entry 4:
VASP calculation (PBE) on a relaxed LiCa3Au crystal.

abc: 4.6901 9.4179 6.8464
angles: 90.00 90.00 90.00
With the nearest neighbours (Å) after each atom.
Space group Pmmn (No. 59, origin choice 2)
Unique sites:
1 Li 0.2500 0.2500 0.0860 (multiplicity 2)  1 Au 2.65
2 Ca 0.2500 0.5493 0.7142 (multiplicity 4)  3 Au 3.26-3.27, 2 Li 3.31
3 Ca 0.2500 0.7500 0.2424 (multiplicity 2)  2 Au 3.05, 2 Li 3.25
4 Au 0.2500 0.2500 0.4735 (multiplicity 2)  1 Li 2.65

Summary:
* E: -25.93 eV for the cell shown
* formation enthalpy at 0 K: -34 kJ per mole of atoms


Entry 5:
VASP calculation (PBE) on a relaxed LiCa2Au9 crystal.

abc: 5.5680 5.5680 28.4182
angles: 90.00 90.00 120.00
With the nearest neighbours (Å) after each atom.
Space group R-3m (No. 166, hexagonal axes)
Unique sites:
1 Li 0.0000 0.0000 0.0000 (multiplicity 3)  6 Au 3.21
2 Ca 0.0000 0.0000 0.1390 (multiplicity 6)  12 Au 3.18-3.50
3 Au 0.0000 0.0000 0.3330 (multiplicity 6)  9 Au 2.87-3.21, 3 Li 3.21
4 Au 0.0000 0.0000 0.5000 (multiplicity 3)  6 Au 2.84
5 Au 0.0032 0.5016 0.9154 (multiplicity 18)  7 Au 2.76-2.91

Summary:
* E: -121.15 eV for the cell shown
* formation enthalpy at 0 K: -40 kJ per mole of atoms


Entry 6:
VASP calculation (PBE) on a relaxed LiCa3Au4 crystal.

abc: 3.5664 3.5664 13.9284
angles: 90.00 90.00 90.00
With the nearest neighbours (Å) after each atom.
Space group P4/mmm (No. 123)
Unique sites:
1 Li 0.0000 0.0000 0.0000 (multiplicity 1)  8 Au 2.89, 2 Ca 3.24
2 Ca 0.0000 0.0000 0.2325 (multiplicity 2)  8 Au 3.11-3.13, 1 Li 3.24
3 Ca 0.0000 0.0000 0.5000 (multiplicity 1)  8 Au 3.14
4 Au 0.5000 0.5000 0.1019 (multiplicity 2)  1 Au 2.84, 4 Li 2.89, 4 Ca 3.11
5 Au 0.5000 0.5000 0.3662 (multiplicity 2)  8 Ca 3.13-3.14

Summary:
* E: -26.80 eV for the cell shown
* formation enthalpy at 0 K: -70 kJ per mole of atoms